1.
Compound: MnRe2Ru
Source: the Alexandria database
Functional: PBE
Structure: relaxed

abc: 3.774 2.714 6.057
angles: 63.41 90.00 90.00
Each line ends with the local moment (μB).
Fractional positions:
Mn: 0.500 0.750 0.750  1.32
Re: 0.000 0.011 0.989  -0.15
Re: 0.000 0.489 0.511  -0.15
Ru: 0.500 0.250 0.250  0.13

## Properties
total magnetic moment = 1.19 μB/cell
excess energy over the best structure of this formula in the dataset = 46.8 meV per atom
formation energy from the elements = 52 meV per atom
DOS at the Fermi energy = 2.92 states/eV per cell

2.
Compound: Si3PtC
Source: the Alexandria database
Functional: PBE
Structure: relaxed

abc: 4.650 4.650 4.650
angles: 90.00 90.00 90.00
Each line ends with the local moment (μB).
Fractional positions:
Si: 0.000 0.500 0.000  -0.05
Si: 0.000 0.000 0.500  -0.07
Si: 0.500 0.000 0.000  -0.04
C: 0.500 0.500 0.500  0.42
Pt: 0.000 0.000 0.000  -0.08

## Properties
uncorrected formation energy = 1696 meV/atom
total magnetic moment = 0.37 μB/cell
excess energy over the best structure of this formula in the dataset = 1149.7 meV per atom
DOS at the Fermi energy = 3.82 states/eV per cell

3.
Compound: Cr3NiH
Source: the Alexandria database
Functional: PBE
Structure: relaxed

abc: 3.628 3.628 3.628
angles: 90.00 90.00 90.00
Fractional positions:
Ni: 0.500 0.500 0.500
H: 0.000 0.000 0.000
Cr: 0.000 0.500 0.000
Cr: 0.000 0.000 0.500
Cr: 0.500 0.000 0.000

## Properties
total magnetic moment = 0.00 μB/cell
excess energy over the best structure of this formula in the dataset = 0.0 meV per atom
DOS at the Fermi energy = 3.93 states/eV per cell

4.
Compound: Cs2IBr
Source: the Alexandria database
Functional: PBE
Structure: relaxed

abc: 4.521 4.521 9.072
angles: 90.00 90.00 90.00
Fractional positions:
Cs: 0.000 0.000 0.763
Cs: 0.000 0.000 0.237
I: 0.500 0.500 0.500
Br: 0.500 0.500 0.000

## Properties
uncorrected formation energy = -1628 meV/atom
total magnetic moment = 0.00 μB/cell
excess energy over the best structure of this formula in the dataset = 37.6 meV per atom
DOS at the Fermi energy = 0.00 states/eV per cell

5.
Compound: PrTm2WN4
Source: the Alexandria database
Functional: PBE
Structure: relaxed

abc: 3.401 6.165 11.887
angles: 90.00 90.00 106.01
Fractional positions:
Pr: 0.085 0.171 0.750
Pr: 0.915 0.829 0.250
Tm: 0.371 0.742 0.538
Tm: 0.629 0.258 0.038
Tm: 0.629 0.258 0.462
Tm: 0.371 0.742 0.962
W: 0.828 0.655 0.750
W: 0.172 0.345 0.250
N: 0.261 0.523 0.116
N: 0.739 0.477 0.616
N: 0.739 0.477 0.884
N: 0.261 0.523 0.384
N: 0.000 0.000 0.500
N: 0.000 0.000 0.000
N: 0.426 0.853 0.750
N: 0.574 0.147 0.250

## Properties
uncorrected formation energy = -1158 meV/atom
total magnetic moment = 0.00 μB/cell
DOS at the Fermi energy = 4.73 states/eV per cell

6.
Compound: FeIBr
Source: the Alexandria database
Functional: PBE
Structure: relaxed

abc: 4.063 8.202 7.634
angles: 112.68 90.00 104.34
Each line ends with the local moment (μB).
Fractional positions:
Fe: 0.444 0.888 0.581  3.33
Fe: 0.556 0.112 0.419  3.33
I: 0.380 0.760 0.209  0.19
I: 0.620 0.240 0.791  0.19
Br: 0.883 0.766 0.674  0.15
Br: 0.117 0.234 0.326  0.15

## Properties
uncorrected formation energy = -298 meV/atom
total magnetic moment = 8.00 μB/cell
excess energy over the best structure of this formula in the dataset = 0.0 meV per atom
DOS at the Fermi energy = 2.94 states/eV per cell

Question: Look up the total magnetic moment of the fourth one.
Answer: 0.00 μB/cell

Repeat the first record exactly.
Compound: MnRe2Ru
Source: the Alexandria database
Functional: PBE
Structure: relaxed

abc: 3.774 2.714 6.057
angles: 63.41 90.00 90.00
Each line ends with the local moment (μB).
Fractional positions:
Mn: 0.500 0.750 0.750  1.32
Re: 0.000 0.011 0.989  -0.15
Re: 0.000 0.489 0.511  -0.15
Ru: 0.500 0.250 0.250  0.13

## Properties
total magnetic moment = 1.19 μB/cell
excess energy over the best structure of this formula in the dataset = 46.8 meV per atom
formation energy from the elements = 52 meV per atom
DOS at the Fermi energy = 2.92 states/eV per cell